6
Lattice="-3.4808 -2.4132 -0.3297 -1.6150 -1.8814 3.4497 -3.6837 1.3515 1.6284" Properties=species:S:1:pos:R:3 comment="Be5Si, relaxed, DFT GGA-PBE" sg="F-43m (216)" total_energy_ev_per_atom=-3.763 raw_formation_energy_ev_per_atom=0.246 relative_energy_mev_per_atom=0 pbc="T T T"
Be -2.1949 -0.7358 1.1871
Be -5.4792 -1.8368 2.9634
Be -3.6508 -2.5075 2.1551
Be -3.7515 -0.6390 3.1271
Be -4.6776 -0.9029 1.2511
Si 0.0000 0.0000 0.0000


4
Lattice="7.7924 0.2138 0.0278 5.0999 5.8956 -0.0278 -5.9877 -4.0221 2.9560" Properties=species:S:1:pos:R:3 comment="CoAuBr2, relaxed, DFT GGA-PBE" sg="Imm2 (44)" total_energy_ev_per_atom=-3.209 raw_formation_energy_ev_per_atom=0.223 relative_energy_mev_per_atom=184 pbc="T T T"
Au 4.7459 3.3961 1.4641
Br 11.8014 5.5924 0.0000
Br 2.7867 -1.0112 1.4919
Co 6.9089 3.2740 0.0000


4
Lattice="-0.0601 -4.5619 1.3183 -3.4203 -2.8860 -1.5890 1.0343 -3.3967 -3.1535" Properties=species:S:1:pos:R:3 comment="LaZn2Os, relaxed, DFT GGA-PBE" sg="Fm-3m (225)" ef_mev_per_atom=154 total_energy_ev_per_atom=-4.522 pbc="T T T"
Zn -0.6115 -2.7112 -0.8561
Zn -1.8345 -8.1335 -2.5682
Os -1.2230 -5.4223 -1.7121
La 0.0000 0.0000 0.0000


15
Lattice="0.3546 -0.9311 7.5059 6.7255 -2.8133 2.0456 4.3040 5.3603 3.1740" Properties=species:S:1:pos:R:3 comment="InPb6Au8, relaxed, DFT GGA-PBE" sg="R-3 (148)" ef_mev_per_atom=-56 total_energy_ev_per_atom=-3.469 pbc="T T T"
In 0.0000 0.0000 0.0000
Pb 3.7034 -0.9002 6.2435
Pb 6.2116 0.2309 3.8559
Pb 4.0359 2.6495 5.4953
Pb 7.6807 2.5161 6.4820
Pb 5.1725 1.3850 8.8696
Pb 7.3483 -1.0336 7.2302
Au 1.9798 0.2810 2.2131
Au 9.4043 1.3349 10.5124
Au 6.4504 3.2686 3.6732
Au 2.2574 1.4329 7.6573
Au 5.8586 -2.6339 4.9521
Au 4.9337 -1.6527 9.0523
Au 9.1268 0.1830 5.0682
Au 5.5256 4.2498 7.7734


Please write out number 1 again, unchanged.
6
Lattice="-3.4808 -2.4132 -0.3297 -1.6150 -1.8814 3.4497 -3.6837 1.3515 1.6284" Properties=species:S:1:pos:R:3 comment="Be5Si, relaxed, DFT GGA-PBE" sg="F-43m (216)" total_energy_ev_per_atom=-3.763 raw_formation_energy_ev_per_atom=0.246 relative_energy_mev_per_atom=0 pbc="T T T"
Be -2.1949 -0.7358 1.1871
Be -5.4792 -1.8368 2.9634
Be -3.6508 -2.5075 2.1551
Be -3.7515 -0.6390 3.1271
Be -4.6776 -0.9029 1.2511
Si 0.0000 0.0000 0.0000